[1]
# Co3B

An optimized crystal structure of Co3B (GGA-PBE, Alexandria).

Structure (POSCAR):
```
Co3B
1.0
-1.325 3.449 2.085
1.325 -3.449 2.085
1.325 3.449 -2.085
Co B
3 1
direct
0.000 0.000 0.000
0.276 0.475 0.800
0.675 0.475 0.200
0.649 0.149 0.500
```

Values from the calculation:
D(E_F)	3.51	states/eV/cell
raw total energy	-7.06	eV/atom
E_form	-6	kJ per mole of atoms
magnetization	0.819	μB/atom

=====

[2]
# AlOs

An optimized crystal structure of AlOs (GGA-PBE, Alexandria).

Structure (POSCAR):
```
AlOs
1.0
-1.871 1.871 4.066
1.871 -1.871 4.066
1.871 1.871 -4.066
Al Os
2 2
direct
0.375 0.625 0.750
0.625 0.375 0.250
0.125 0.875 0.250
0.875 0.125 0.750
```

Values from the calculation:
D(E_F)	3.12	states/eV/cell
raw total energy	-7.61	eV/atom
E_form	-12	kJ per mole of atoms
magnetization	0.000	μB/atom

=====

[3]
# Pa3Co5Se12

An optimized crystal structure of Pa3Co5Se12 (GGA-PBE, Alexandria).

Structure (POSCAR):
```
Pa3Co5Se12
1.0
-7.564 7.564 7.564
7.564 -7.564 7.564
7.564 7.564 -7.564
Pa Co Se
12 20 48
direct
0.125 0.250 0.375
0.125 0.375 0.750
0.250 0.375 0.125
0.250 0.875 0.625
0.375 0.125 0.250
0.375 0.750 0.125
0.625 0.250 0.875
0.625 0.875 0.750
0.750 0.125 0.375
0.750 0.625 0.875
0.875 0.625 0.250
0.875 0.750 0.625
0.000 0.000 0.000
0.000 0.000 0.500
0.000 0.500 0.000
0.000 0.500 0.500
0.125 0.750 0.875
0.125 0.875 0.250
0.250 0.125 0.875
0.250 0.625 0.375
0.375 0.250 0.625
0.375 0.625 0.750
0.500 0.000 0.000
0.500 0.000 0.500
0.500 0.500 0.000
0.500 0.500 0.500
0.625 0.375 0.250
0.625 0.750 0.375
0.750 0.375 0.625
0.750 0.875 0.125
0.875 0.125 0.750
0.875 0.250 0.125
0.030 0.205 0.117
0.030 0.325 0.913
0.087 0.617 0.412
0.087 0.970 0.675
0.088 0.705 0.675
0.088 0.883 0.413
0.117 0.030 0.205
0.117 0.587 0.912
0.175 0.205 0.588
0.175 0.470 0.587
0.205 0.117 0.030
0.205 0.588 0.175
0.295 0.325 0.912
0.295 0.470 0.383
0.325 0.912 0.295
0.325 0.913 0.030
0.383 0.295 0.470
0.383 0.588 0.913
0.412 0.087 0.617
0.412 0.825 0.795
0.413 0.088 0.883
0.413 0.825 0.530
0.470 0.383 0.295
0.470 0.587 0.175
0.530 0.413 0.825
0.530 0.617 0.705
0.587 0.175 0.470
0.587 0.912 0.117
0.588 0.175 0.205
0.588 0.913 0.383
0.617 0.412 0.087
0.617 0.705 0.530
0.675 0.087 0.970
0.675 0.088 0.705
0.705 0.530 0.617
0.705 0.675 0.088
0.795 0.412 0.825
0.795 0.883 0.970
0.825 0.530 0.413
0.825 0.795 0.412
0.883 0.413 0.088
0.883 0.970 0.795
0.912 0.117 0.587
0.912 0.295 0.325
0.913 0.030 0.325
0.913 0.383 0.588
0.970 0.675 0.087
0.970 0.795 0.883
```

Values from the calculation:
D(E_F)	68.99	states/eV/cell
raw total energy	-5.98	eV/atom
uncorrected formation energy	-0.689	eV per atom
magnetization	0.298	μB/atom

=====

[4]
# Zn2Ni2Pd7

An optimized crystal structure of Zn2Ni2Pd7 (GGA-PBE, Alexandria).

Structure (POSCAR):
```
Zn2Ni2Pd7
1.0
3.341 -3.707 0.000
3.341 3.707 0.000
-1.585 0.000 6.475
Zn Ni Pd
2 2 7
direct
0.105 0.105 0.344
0.895 0.895 0.656
0.180 0.820 0.000
0.820 0.180 0.000
0.035 0.411 0.697
0.343 0.343 0.082
0.411 0.035 0.697
0.500 0.500 0.500
0.589 0.965 0.303
0.657 0.657 0.918
0.965 0.589 0.303
```

Values from the calculation:
D(E_F)	13.96	states/eV/cell
raw total energy	-4.72	eV/atom
E_form	-13	kJ per mole of atoms
magnetization	0.185	μB/atom

=====

[5]
# ThGa2Ni2Ru

An optimized crystal structure of ThGa2Ni2Ru (GGA-PBE, Alexandria).

Structure (POSCAR):
```
ThGa2Ni2Ru
1.0
4.677 0.000 0.000
0.000 4.677 0.000
0.000 0.000 5.235
Th Ga Ni Ru
1 2 2 1
direct
0.000 0.000 0.000
0.000 0.500 0.500
0.500 0.000 0.500
0.500 0.500 0.244
0.500 0.500 0.756
0.000 0.000 0.500
```

Values from the calculation:
D(E_F)	3.32	states/eV/cell
raw total energy	-5.82	eV/atom
E_form	-9	kJ per mole of atoms
magnetization	0.000	μB/atom

=====

[6]
# Pr2Ga4GePd3

An optimized crystal structure of Pr2Ga4GePd3 (GGA-PBE, Alexandria).

Structure (POSCAR):
```
Pr2Ga4GePd3
1.0
4.394 0.000 0.000
0.000 4.394 0.000
0.000 0.000 10.276
Pr Ga Ge Pd
2 4 1 3
direct
0.000 0.500 0.248
0.500 0.000 0.752
0.000 0.000 0.000
0.000 0.500 0.638
0.500 0.000 0.362
0.500 0.500 0.000
0.000 0.000 0.500
0.000 0.500 0.877
0.500 0.000 0.123
0.500 0.500 0.500
```

Values from the calculation:
D(E_F)	6.08	states/eV/cell
raw total energy	-4.92	eV/atom
E_form	-71	kJ per mole of atoms
magnetization	0.000	μB/atom

=====

[7]
# CaRuW2

An optimized crystal structure of CaRuW2 (GGA-PBE, Alexandria).

Structure (POSCAR):
```
CaRuW2
1.0
1.436 0.829 9.859
-1.436 0.829 9.859
0.000 -1.658 9.859
Ca Ru W
1 1 2
direct
0.000 0.000 0.000
0.500 0.500 0.500
0.240 0.240 0.240
0.760 0.760 0.760
```

Values from the calculation:
D(E_F)	5.31	states/eV/cell
raw total energy	-8.62	eV/atom
E_form	65	kJ per mole of atoms
magnetization	0.058	μB/atom

=====

[8]
# TiIn2Cl6

An optimized crystal structure of TiIn2Cl6 (GGA-PBE, Alexandria).

Structure (POSCAR):
```
TiIn2Cl6
1.0
6.911 0.000 0.000
0.000 6.911 0.000
0.000 0.000 12.291
Ti In Cl
2 4 12
direct
0.000 0.000 0.000
0.500 0.500 0.500
0.000 0.000 0.337
0.000 0.000 0.663
0.500 0.500 0.163
0.500 0.500 0.837
0.171 0.171 0.139
0.171 0.171 0.861
0.239 0.761 0.000
0.261 0.261 0.500
0.329 0.671 0.361
0.329 0.671 0.639
0.671 0.329 0.361
0.671 0.329 0.639
0.739 0.739 0.500
0.761 0.239 0.000
0.829 0.829 0.139
0.829 0.829 0.861
```

Values from the calculation:
raw total energy	-3.95	eV/atom
uncorrected formation energy	-1.235	eV per atom
magnetization	0.000	μB/atom

=====

[9]
# RbSi2O4

An optimized crystal structure of RbSi2O4 (GGA-PBE, Alexandria).

Structure (POSCAR):
```
RbSi2O4
1.0
-3.955 3.955 2.426
3.955 -3.955 2.426
3.955 3.955 -2.426
Rb Si O
1 2 4
direct
0.000 0.000 0.000
0.250 0.750 0.500
0.750 0.250 0.500
0.152 0.501 0.653
0.499 0.152 0.651
0.501 0.848 0.349
0.848 0.499 0.347
```

Values from the calculation:
D(E_F)	1.15	states/eV/cell
raw total energy	-6.57	eV/atom
uncorrected formation energy	-2.051	eV per atom
magnetization	0.000	μB/atom

=====

[10]
# AgTe2Ru

An optimized crystal structure of AgTe2Ru (GGA-PBE, Alexandria).

Structure (POSCAR):
```
AgTe2Ru
1.0
0.000 3.445 3.445
3.445 0.000 3.445
3.445 3.445 0.000
Ag Te Ru
1 2 1
direct
0.000 0.000 0.000
0.250 0.250 0.250
0.750 0.750 0.750
0.500 0.500 0.500
```

Values from the calculation:
D(E_F)	1.95	states/eV/cell
raw total energy	-4.30	eV/atom
uncorrected formation energy	0.299	eV per atom
magnetization	0.000	μB/atom

=====

[11]
# NaCrSeBr2

An optimized crystal structure of NaCrSeBr2 (GGA-PBE, Alexandria).

Structure (POSCAR):
```
NaCrSeBr2
1.0
5.301 0.000 0.000
0.000 5.301 0.000
0.000 0.000 5.387
Na Cr Se Br
1 1 1 2
direct
0.000 0.000 0.000
0.500 0.500 0.500
0.000 0.000 0.500
0.000 0.500 0.000
0.500 0.000 0.000
```

Values from the calculation:
D(E_F)	5.36	states/eV/cell
raw total energy	-3.32	eV/atom
uncorrected formation energy	0.233	eV per atom
magnetization	0.598	μB/atom

=====

Q: Look up the raw total energy of the fifth one.
A: -5.82 eV/atom